[1]
Compound: Co3BiC
Source: Alexandria
Functional: meta-GGA SCAN
Structure: single point on PBEsol structure

Properties
- E_form: 2.3 eV/f.u.
- Density: 11187 kg/m3
- Magnetic moment: 3.7 μB/f.u.

```
5
Lattice="3.894 0.000 0.000 0.000 3.894 0.000 0.000 0.000 3.894" Properties=species:S:1:pos:R:3 pbc="T T T"
C 0.000 0.000 0.000
Co 0.000 1.947 0.000
Co 0.000 0.000 1.947
Co 1.947 0.000 0.000
Bi 1.947 1.947 1.947
```


[2]
Compound: AlTl2BPt
Source: Alexandria
Functional: meta-GGA SCAN
Structure: single point on PBEsol structure

Properties
- E_form: 5.9 eV/f.u.
- Density: 8495 kg/m3
- Magnetic moment: 0.0 μB/f.u.

```
5
Lattice="4.584 0.000 0.000 0.000 5.231 0.000 0.000 0.000 5.231" Properties=species:S:1:pos:R:3 pbc="T T T"
Tl 0.000 0.000 2.615
Tl 0.000 2.615 0.000
B 2.292 2.615 2.615
Al 0.000 0.000 0.000
Pt 2.292 0.000 0.000
```


[3]
Compound: Re3RhS
Source: Alexandria
Functional: meta-GGA SCAN
Structure: single point on PBEsol structure

Properties
- Distance to the lowest polymorph of the same formula: 0 meV per atom
- Uncorrected formation energy: 1.142 eV per atom
- Density: 14841 kg/m3
- Magnetic moment: 0.0 μB/f.u.

```
5
Lattice="-0.354 -3.657 2.167 0.379 -2.192 -3.639 4.234 -0.109 0.507" Properties=species:S:1:pos:R:3 pbc="T T T"
Re 0.190 -1.096 -1.820
Re 2.117 -0.055 0.253
Re -0.177 -1.829 1.083
S 0.000 0.000 0.000
Rh 2.130 -2.979 -0.483
```


[4]
Compound: Be2CuRh
Source: Alexandria
Functional: meta-GGA SCAN
Structure: single point on PBEsol structure

Properties
- E_form: -2.4 eV/f.u.
- Density: 7694 kg/m3
- Magnetic moment: 0.0 μB/f.u.

```
4
Lattice="3.775 0.000 0.000 0.000 3.775 0.000 0.000 0.000 2.793" Properties=species:S:1:pos:R:3 pbc="T T T"
Be 0.000 0.000 0.000
Be 1.888 1.888 0.000
Rh 0.000 1.888 1.397
Cu 1.888 0.000 1.397
```


[5]
Compound: AlCrRu2
Source: Alexandria
Functional: meta-GGA SCAN
Structure: single point on PBEsol structure

Properties
- E_form: -0.8 eV/f.u.
- Density: 8974 kg/m3
- Magnetic moment: 0.0 μB/f.u.

```
4
Lattice="-2.019 1.400 1.125 1.132 -1.200 3.525 2.956 3.947 0.394" Properties=species:S:1:pos:R:3 pbc="T T T"
Ru 2.895 3.865 0.386
Ru 0.389 1.212 2.436
Al 1.445 1.929 0.193
Cr 1.774 3.060 2.621
```


[6]
Compound: CaFePt2
Source: Alexandria
Functional: meta-GGA SCAN
Structure: single point on PBEsol structure

Properties
- E_form: -1.9 eV/f.u.
- Density: 12543 kg/m3
- Magnetic moment: 3.5 μB/f.u.

```
4
Lattice="3.790 0.000 0.000 0.000 4.121 0.000 0.000 0.000 4.121" Properties=species:S:1:pos:R:3 pbc="T T T"
Ca 1.895 2.060 2.060
Fe 1.895 0.000 0.000
Pt 0.000 0.000 2.060
Pt 0.000 2.060 0.000
```


[7]
Compound: Rb3BiN
Source: Alexandria
Functional: meta-GGA SCAN
Structure: single point on PBEsol structure

Properties
- Uncorrected formation energy: 0.282 eV per atom
- Density: 4268 kg/m3
- Magnetic moment: 3.0 μB/f.u.

```
5
Lattice="-5.636 -0.760 0.544 0.864 -2.964 4.808 -0.358 4.825 3.039" Properties=species:S:1:pos:R:3 pbc="T T T"
Bi -2.565 0.550 4.195
Rb 0.432 -1.482 2.404
Rb -0.179 2.413 1.519
Rb -2.818 -0.380 0.272
N 0.000 0.000 0.000
```


[8]
Compound: ZrTiSe4
Source: Alexandria
Functional: meta-GGA SCAN
Structure: single point on PBEsol structure

Properties
- Uncorrected formation energy: -1.357 eV per atom
- Density: 5610 kg/m3
- Magnetic moment: 0.0 μB/f.u.

```
6
Lattice="3.602 0.000 0.000 0.000 6.246 0.002 0.000 -0.016 5.986" Properties=species:S:1:pos:R:3 pbc="T T T"
Se 0.000 4.229 4.388
Se 1.801 5.281 1.546
Se 1.801 0.949 4.442
Se 0.000 2.001 1.600
Zr 1.801 3.123 0.001
Ti 0.000 0.000 0.000
```


[9]
Compound: KLa2Ta
Source: Alexandria
Functional: meta-GGA SCAN
Structure: single point on PBEsol structure

Properties
- E_form: 4.5 eV/f.u.
- Distance to the lowest polymorph of the same formula: 526 meV per atom
- Density: 7168 kg/m3
- Magnetic moment: 0.0 μB/f.u.

```
4
Lattice="3.307 0.000 0.000 0.000 5.610 0.000 0.000 0.000 6.217" Properties=species:S:1:pos:R:3 pbc="T T T"
K 0.000 2.805 3.108
La 0.000 0.000 0.000
La 1.654 0.000 3.108
Ta 1.654 2.805 0.000
```


[10]
Compound: CuTcCl2
Source: Alexandria
Functional: meta-GGA SCAN
Structure: single point on PBEsol structure

Properties
- Distance to the lowest polymorph of the same formula: 415 meV per atom
- Uncorrected formation energy: 0.342 eV per atom
- Density: 6017 kg/m3
- Magnetic moment: 2.5 μB/f.u.

```
4
Lattice="-1.159 -0.846 -2.705 4.684 0.972 -0.956 0.025 -4.109 2.629" Properties=species:S:1:pos:R:3 pbc="T T T"
Tc 2.354 -1.569 0.836
Cu 0.000 0.000 0.000
Cl 2.342 0.486 -0.478
Cl 0.013 -2.054 1.315
```


[11]
Compound: CoPtIN2
Source: Alexandria
Functional: meta-GGA SCAN
Structure: single point on PBEsol structure

Properties
- Uncorrected formation energy: 1.322 eV per atom
- Density: 8413 kg/m3
- Magnetic moment: 0.0 μB/f.u.

```
5
Lattice="-0.899 2.450 -2.496 -3.425 -0.094 1.141 1.216 4.543 4.022" Properties=species:S:1:pos:R:3 pbc="T T T"
I 0.608 2.272 2.011
Co 0.000 0.000 0.000
Pt -1.554 3.450 1.334
N -1.712 -0.047 0.571
N -0.449 1.225 -1.248
```


[12]
Compound: TaAlOs2
Source: Alexandria
Functional: meta-GGA SCAN
Structure: single point on PBEsol structure

Properties
- E_form: -1.0 eV/f.u.
- Distance to the lowest polymorph of the same formula: 536 meV per atom
- Density: 16427 kg/m3
- Magnetic moment: 0.0 μB/f.u.

```
4
Lattice="2.760 0.000 -0.001 0.000 4.251 0.000 -0.499 0.000 5.070" Properties=species:S:1:pos:R:3 pbc="T T T"
Os 1.768 0.000 3.718
Os 0.492 0.000 1.351
Al -0.250 2.125 2.535
Ta 1.380 2.125 -0.001
```


DOS(E_F) (states/eV per cell)
2.1; 2.4; 4.9; 0.9; 2.6; 2.5; 6.3; 0.6; 4.8; 1.2; 4.5; 2.1